# 1
# GGA-PBE Fe3Ni3Pt4, relaxed
data_Fe3Ni3Pt4
_chemical_formula_sum 'Fe3 Ni3 Pt4'
_symmetry_space_group_name_H-M 'P 1'
_symmetry_Int_Tables_number 1
_symmetry_space_group_name_Hall 'P 1'
_cell_length_a 2.772
_cell_length_b 7.238
_cell_length_c 7.238
_cell_angle_alpha 89.75
_cell_angle_beta 90.00
_cell_angle_gamma 90.00
loop_
_atom_site_label
_atom_site_fract_x
_atom_site_fract_y
_atom_site_fract_z
_atom_site_occupancy
Fe1 0.500 0.654 0.674 1
Pt1 0.000 0.359 0.641 1
Fe2 0.500 0.326 0.346 1
Ni1 0.000 0.002 0.479 1
Fe3 0.500 0.836 0.164 1
Ni2 0.500 0.161 0.839 1
Ni3 0.000 0.521 0.998 1
Pt2 0.000 0.631 0.369 1
Pt3 0.000 0.868 0.859 1
Pt4 0.000 0.141 0.132 1
# * formation energy from the elements: 95.3 meV/atom
# * SG: Amm2, No. 38

# 2
# GGA-PBE LiNdTh, relaxed
data_LiNdTh
_chemical_formula_sum 'Li1 Nd1 Th1'
_symmetry_space_group_name_H-M 'P 1'
_symmetry_Int_Tables_number 1
_symmetry_space_group_name_Hall 'P 1'
_cell_length_a 3.522
_cell_length_b 3.522
_cell_length_c 8.536
_cell_angle_alpha 90.00
_cell_angle_beta 90.00
_cell_angle_gamma 120.00
loop_
_atom_site_label
_atom_site_fract_x
_atom_site_fract_y
_atom_site_fract_z
_atom_site_occupancy
Li1 0.000 0.000 0.002 1
Th1 0.667 0.333 0.328 1
Nd1 0.333 0.667 0.670 1
# * excess energy over the best structure of this formula in the dataset: 9.4 kJ/mol of atoms
# * formation energy from the elements: 140.2 meV/atom
# * SG: P3m1, No. 156

# 3
# GGA-PBE Sc3NiSe, relaxed
data_Sc3NiSe
_chemical_formula_sum 'Sc3 Ni1 Se1'
_symmetry_space_group_name_H-M 'P 1'
_symmetry_Int_Tables_number 1
_symmetry_space_group_name_Hall 'P 1'
_cell_length_a 4.847
_cell_length_b 4.847
_cell_length_c 4.847
_cell_angle_alpha 90.00
_cell_angle_beta 90.00
_cell_angle_gamma 90.00
loop_
_atom_site_label
_atom_site_fract_x
_atom_site_fract_y
_atom_site_fract_z
_atom_site_occupancy
Sc1 0.000 0.000 0.500 1
Ni1 0.000 0.000 0.000 1
Se1 0.500 0.500 0.500 1
Sc2 0.500 0.000 0.000 1
Sc3 0.000 0.500 0.000 1
# * excess energy over the best structure of this formula in the dataset: 41.2 kJ/mol of atoms
# * SG: Pm-3m, No. 221
# * formation energy without anion corrections: -0.3661 eV per atom

# 4
# GGA-PBE BeSbOs2, relaxed
data_BeSbOs2
_chemical_formula_sum 'Be1 Sb1 Os2'
_symmetry_space_group_name_H-M 'P 1'
_symmetry_Int_Tables_number 1
_symmetry_space_group_name_Hall 'P 1'
_cell_length_a 6.966
_cell_length_b 6.966
_cell_length_c 6.966
_cell_angle_alpha 26.52
_cell_angle_beta 26.52
_cell_angle_gamma 26.52
loop_
_atom_site_label
_atom_site_fract_x
_atom_site_fract_y
_atom_site_fract_z
_atom_site_occupancy
Be1 0.750 0.750 0.750 1
Os1 0.019 0.019 0.019 1
Sb1 0.250 0.250 0.250 1
Os2 0.481 0.481 0.481 1
# * excess energy over the best structure of this formula in the dataset: 20.9 kJ/mol of atoms
# * SG: R-3m, No. 166
# * formation energy without anion corrections: 0.5290 eV per atom

# 5
# GGA-PBE La2Dy8Y, relaxed
data_La2Dy8Y
_chemical_formula_sum 'La2 Dy8 Y1'
_symmetry_space_group_name_H-M 'P 1'
_symmetry_Int_Tables_number 1
_symmetry_space_group_name_Hall 'P 1'
_cell_length_a 5.616
_cell_length_b 10.073
_cell_length_c 10.073
_cell_angle_alpha 41.18
_cell_angle_beta 92.32
_cell_angle_gamma 92.32
loop_
_atom_site_label
_atom_site_fract_x
_atom_site_fract_y
_atom_site_fract_z
_atom_site_occupancy
La1 0.744 0.285 0.285 1
Dy1 0.233 0.183 0.183 1
Y1 0.000 0.000 0.000 1
Dy2 0.264 0.140 0.604 1
Dy3 0.763 0.456 0.456 1
La2 0.256 0.715 0.715 1
Dy4 0.736 0.396 0.860 1
Dy5 0.264 0.604 0.140 1
Dy6 0.767 0.817 0.817 1
Dy7 0.736 0.860 0.396 1
Dy8 0.237 0.544 0.544 1
# * excess energy over the best structure of this formula in the dataset: 2.1 kJ/mol of atoms
# * formation energy from the elements: 177.4 meV/atom
# * SG: C2/m, No. 12

# 6
# GGA-PBE AsIr2Ru, relaxed
data_AsIr2Ru
_chemical_formula_sum 'As1 Ir2 Ru1'
_symmetry_space_group_name_H-M 'P 1'
_symmetry_Int_Tables_number 1
_symmetry_space_group_name_Hall 'P 1'
_cell_length_a 4.646
_cell_length_b 4.646
_cell_length_c 2.779
_cell_angle_alpha 90.00
_cell_angle_beta 90.00
_cell_angle_gamma 90.00
loop_
_atom_site_label
_atom_site_fract_x
_atom_site_fract_y
_atom_site_fract_z
_atom_site_occupancy
Ir1 0.500 0.500 0.000 1
Ir2 0.000 0.000 0.000 1
As1 0.000 0.500 0.500 1
Ru1 0.500 0.000 0.500 1
# * formation energy from the elements: 349.6 meV/atom
# * SG: P4/mmm, No. 123

# 7
# GGA-PBE LiNb2ReO, relaxed
data_LiNb2ReO
_chemical_formula_sum 'Li1 Nb2 Re1 O1'
_symmetry_space_group_name_H-M 'P 1'
_symmetry_Int_Tables_number 1
_symmetry_space_group_name_Hall 'P 1'
_cell_length_a 5.102
_cell_length_b 3.746
_cell_length_c 5.102
_cell_angle_alpha 90.00
_cell_angle_beta 90.00
_cell_angle_gamma 90.00
loop_
_atom_site_label
_atom_site_fract_x
_atom_site_fract_y
_atom_site_fract_z
_atom_site_occupancy
Li1 0.500 0.500 0.500 1
Re1 0.000 0.000 0.000 1
O1 0.000 0.500 0.000 1
Nb1 0.500 0.000 0.000 1
Nb2 0.000 0.000 0.500 1
# * SG: P4/mmm, No. 123
# * formation energy without anion corrections: 0.6961 eV per atom

# 8
# GGA-PBE HgB3Cl, relaxed
data_HgB3Cl
_chemical_formula_sum 'Hg1 B3 Cl1'
_symmetry_space_group_name_H-M 'P 1'
_symmetry_Int_Tables_number 1
_symmetry_space_group_name_Hall 'P 1'
_cell_length_a 4.517
_cell_length_b 4.517
_cell_length_c 4.517
_cell_angle_alpha 90.00
_cell_angle_beta 90.00
_cell_angle_gamma 90.00
loop_
_atom_site_label
_atom_site_fract_x
_atom_site_fract_y
_atom_site_fract_z
_atom_site_occupancy
B1 0.000 0.500 0.000 1
Hg1 0.000 0.000 0.000 1
Cl1 0.500 0.500 0.500 1
B2 0.000 0.000 0.500 1
B3 0.500 0.000 0.000 1
# * excess energy over the best structure of this formula in the dataset: 0.0 kJ/mol of atoms
# * SG: Pm-3m, No. 221
# * formation energy without anion corrections: 2.1324 eV per atom

| no. | DOS at the Fermi energy (states/eV/cell) |
| --- | --- |
| 1 | 12.89 |
| 2 | 2.18 |
| 3 | 5.35 |
| 4 | 2.92 |
| 5 | 17.33 |
| 6 | 5.45 |
| 7 | 4.48 |
| 8 | 3.04 |